The following is a PBE calculation of a relaxed structure of CaZrBr2, from Alexandria.

Cell lengths 6.186, 6.186, 6.186 Å; angles 147.37, 117.22, 72.56 degrees
Element x y z (fractional)
Br1 0.033 0.033 0.000
Zr1 0.250 0.750 0.500
Br2 0.467 0.467 0.000
Ca1 0.750 0.250 0.500

Output
- DFT total energy: -16.65 eV per cell
- Excess energy over the best structure of this formula in the dataset: 212.5 meV per atom
- D(E_F): 0.5871 states/eV per atom